1.
The following is a PBE calculation of an optimized crystal structure of Cs2TlTcCl6, from Alexandria.

a = 7.493 Å, b = 7.493 Å, c = 15.327 Å
α = 75.85°, β = 75.85°, γ = 60.00°
Last column: magnetic moment on the atom in μB.
Sites, in units of the cell vectors:
Cs (0.864, 0.864, 0.409)  0.00
Cs (0.136, 0.136, 0.591)  0.00
Cs (0.696, 0.696, 0.913)  0.00
Cs (0.304, 0.304, 0.087)  0.00
Tl (0.586, 0.586, 0.242)  0.00
Tl (0.414, 0.414, 0.758)  0.00
Tc (0.000, 0.000, 0.000)  1.69
Tc (0.500, 0.500, 0.500)  1.54
Cl (0.837, 0.379, 0.404)  0.02
Cl (0.379, 0.837, 0.404)  0.02
Cl (0.379, 0.379, 0.404)  0.02
Cl (0.163, 0.621, 0.596)  0.02
Cl (0.621, 0.163, 0.596)  0.02
Cl (0.621, 0.621, 0.596)  0.02
Cl (0.729, 0.184, 0.904)  0.02
Cl (0.184, 0.729, 0.904)  0.02
Cl (0.184, 0.184, 0.904)  0.02
Cl (0.271, 0.816, 0.096)  0.02
Cl (0.816, 0.271, 0.096)  0.02
Cl (0.816, 0.816, 0.096)  0.02

Output
The crystal system is trigonal. The total energy comes out at -0.1402 hartree per atom. The formation energy from raw total energies comes out at -1220 kJ/mol of formula units.



2.
The following is a PBE calculation of an optimized crystal structure of CsTl2TcCl8, from Alexandria.

a = 6.189 Å, b = 7.428 Å, c = 9.482 Å
α = 89.96°, β = 90.04°, γ = 114.66°
Last column: magnetic moment on the atom in μB.
Sites, in units of the cell vectors:
Cs (0.000, 0.000, 0.500)  0.01
Tl (0.501, 0.500, 0.743)  -0.05
Tl (0.499, 0.500, 0.257)  -0.05
Tc (0.000, 0.000, 0.000)  1.85
Cl (0.032, 0.786, 0.176)  0.03
Cl (0.589, 0.812, 0.000)  0.01
Cl (0.967, 0.214, 0.175)  0.03
Cl (0.968, 0.214, 0.824)  0.03
Cl (0.411, 0.188, 0.000)  0.01
Cl (0.033, 0.786, 0.825)  0.03
Cl (0.387, 0.687, 0.500)  -0.08
Cl (0.613, 0.313, 0.500)  -0.08

Output
The crystal system is monoclinic. The total energy comes out at -0.1303 hartree per atom. The formation energy from raw total energies comes out at -1140 kJ/mol of formula units.



3.
The following is a PBE calculation of an optimized crystal structure of CsTl2TcCl6, from Alexandria.

a = 7.241 Å, b = 7.241 Å, c = 17.041 Å
α = 77.73°, β = 77.73°, γ = 60.00°
Last column: magnetic moment on the atom in μB.
Sites, in units of the cell vectors:
Cs (0.585, 0.585, 0.246)  0.00
Cs (0.415, 0.415, 0.754)  0.00
Tl (0.850, 0.850, 0.450)  0.00
Tl (0.150, 0.150, 0.550)  0.00
Tl (0.683, 0.683, 0.951)  0.00
Tl (0.317, 0.317, 0.049)  0.00
Tc (0.000, 0.000, 0.000)  1.60
Tc (0.500, 0.500, 0.500)  1.61
Cl (0.845, 0.369, 0.416)  0.02
Cl (0.369, 0.845, 0.416)  0.02
Cl (0.369, 0.369, 0.416)  0.02
Cl (0.155, 0.631, 0.584)  0.02
Cl (0.631, 0.155, 0.584)  0.02
Cl (0.631, 0.631, 0.584)  0.02
Cl (0.714, 0.185, 0.916)  0.02
Cl (0.185, 0.714, 0.916)  0.02
Cl (0.185, 0.185, 0.916)  0.02
Cl (0.286, 0.815, 0.084)  0.02
Cl (0.815, 0.286, 0.084)  0.02
Cl (0.815, 0.815, 0.084)  0.02

Output
The crystal system is trigonal. The total energy comes out at -0.1381 hartree per atom. The formation energy from raw total energies comes out at -1019 kJ/mol of formula units.